Entry 1:
DFT (PBE-GGA) results for crystalline CeTiOs at its relaxed geometry.

a = 4.134 Å, b = 7.132 Å, c = 7.132 Å
α = 120.00°, β = 90.00°, γ = 90.00°
Fractional positions:
Os: 0.500 0.667 0.333
Os: 0.500 0.333 0.667
Os: 0.000 0.000 0.000
Ce: 0.000 0.564 0.564
Ce: 0.000 0.000 0.436
Ce: 0.000 0.436 0.000
Ti: 0.500 0.000 0.767
Ti: 0.500 0.767 0.000
Ti: 0.500 0.233 0.233

Computed properties:
ρ (g cm⁻³): 10.35
Symmetry: P-62m
Spin magnetization (Bohr magnetons per cell): 0.0
Formation energy (eV per formula unit): -0.64
E (eV per atom): -8.57


Entry 2:
DFT (PBE-GGA) results for crystalline CeTiOs4 at its relaxed geometry.

a = 5.284 Å, b = 5.284 Å, c = 5.284 Å
α = 60.00°, β = 60.00°, γ = 60.00°
Fractional positions:
Os: 0.625 0.625 0.124
Os: 0.625 0.124 0.625
Os: 0.625 0.625 0.625
Os: 0.124 0.625 0.625
Ce: 0.250 0.250 0.250
Ti: 0.000 0.000 0.000

Computed properties:
ρ (g cm⁻³): 15.10
Symmetry: F-43m
Spin magnetization (Bohr magnetons per cell): 0.0
Formation energy (eV per formula unit): -0.49
E (eV per atom): -9.87


Entry 3:
DFT (PBE-GGA) results for crystalline CeTi2Os at its relaxed geometry.

a = 3.097 Å, b = 3.097 Å, c = 7.740 Å
α = 90.00°, β = 90.00°, γ = 90.00°
Fractional positions:
Os: 0.500 0.500 0.000
Ce: 0.500 0.500 0.500
Ti: 0.000 0.000 0.805
Ti: 0.000 0.000 0.195

Computed properties:
ρ (g cm⁻³): 9.53
Symmetry: P4/mmm
Spin magnetization (Bohr magnetons per cell): 0.0
Formation energy (eV per formula unit): -0.97
E (eV per atom): -8.48


Entry 4:
DFT (PBE-GGA) results for crystalline CeTiOs2 at its relaxed geometry.

a = 3.141 Å, b = 3.141 Å, c = 7.082 Å
α = 90.00°, β = 90.00°, γ = 90.00°
Fractional positions:
Os: 0.000 0.000 0.789
Os: 0.000 0.000 0.211
Ce: 0.500 0.500 0.500
Ti: 0.500 0.500 0.000

Computed properties:
ρ (g cm⁻³): 13.51
Symmetry: P4/mmm
Spin magnetization (Bohr magnetons per cell): 0.0
Formation energy (eV per formula unit): -1.21
E (eV per atom): -9.37


Entry 5:
DFT (PBE-GGA) results for crystalline Ce2TlOs at its relaxed geometry.

a = 4.014 Å, b = 4.014 Å, c = 8.402 Å
α = 76.18°, β = 76.18°, γ = 60.00°
Fractional positions:
Tl: 0.500 0.500 0.500
Os: 0.000 0.000 0.000
Ce: 0.270 0.270 0.190
Ce: 0.730 0.730 0.810

Computed properties:
ρ (g cm⁻³): 9.94
Symmetry: R-3m
Excess energy over the best structure of this formula in the dataset (eV per atom): 0.080
Spin magnetization (Bohr magnetons per cell): 0.2
Formation energy (eV per formula unit): -0.67
E (eV per atom): -6.53


Entry 6:
DFT (PBE-GGA) results for crystalline Ce2TlOs at its relaxed geometry.

a = 4.033 Å, b = 4.033 Å, c = 8.411 Å
α = 76.13°, β = 76.13°, γ = 60.00°
Fractional positions:
Ce: 0.063 0.063 0.812
Ce: 0.271 0.271 0.188
Tl: 0.499 0.499 0.502
Os: 0.667 0.667 0.998

Computed properties:
ρ (g cm⁻³): 9.84
Symmetry: R3m
Excess energy over the best structure of this formula in the dataset (eV per atom): 0.103
Spin magnetization (Bohr magnetons per cell): 0.5
Formation energy (eV per formula unit): -0.58
E (eV per atom): -6.51


Look up the ρ of the fifth one. 9.94 g cm⁻³